Entry 1:
First-principles (GGA-PBE) data for a geometry-optimized Pm4GaHg7 structure, as listed in Alexandria.

abc: 8.0309 8.0309 9.7253
angles: 120.48 120.48 37.98
With the nearest neighbours (Å) after each atom.
Atoms (fractional coordinates):
1 Pm 0.0680 0.0680 0.2528  8 Hg 3.08-3.31
2 Pm 0.2369 0.2369 0.7692  6 Hg 3.08-3.31
3 Pm 0.7631 0.7631 0.2308  6 Hg 3.08-3.31
4 Pm 0.9320 0.9320 0.7472  8 Hg 3.08-3.31
5 Ga 0.5000 0.5000 0.5000  6 Hg 2.61-2.87
6 Hg 0.0000 0.0000 0.5000  2 Ga 2.61
7 Hg 0.1679 0.1679 0.0391  3 Hg 3.07-3.24, 5 Pm 3.08-3.31
8 Hg 0.3160 0.3160 0.5143  1 Ga 2.87, 2 Hg 3.21
9 Hg 0.4121 0.4121 0.1562  1 Ga 2.86, 2 Hg 3.07
10 Hg 0.5879 0.5879 0.8438  1 Ga 2.86, 2 Hg 3.07
11 Hg 0.6840 0.6840 0.4857  1 Ga 2.87, 2 Hg 3.21
12 Hg 0.8321 0.8321 0.9609  3 Hg 3.07-3.24, 5 Pm 3.08-3.31

---

Entry 2:
First-principles (GGA-PBE) data for a geometry-optimized CrAgHg structure, as listed in Alexandria.

abc: 4.5626 4.5626 4.5626
angles: 60.00 60.00 60.00
With the nearest neighbours (Å) after each atom.
Atoms (fractional coordinates):
1 Cr 0.0000 0.0000 0.0000  4 Hg 2.79, 4 Ag 2.79
2 Ag 0.2500 0.2500 0.2500  4 Cr 2.79
3 Hg 0.7500 0.7500 0.7500  4 Cr 2.79

E above lowest polymorph: 219.7 meV/atom

---

Entry 3:
First-principles (GGA-PBE) data for a geometry-optimized TmGa2Co3 structure, as listed in Alexandria.

abc: 5.1790 5.1790 3.7838
angles: 90.00 90.00 120.00
With the nearest neighbours (Å) after each atom.
Atoms (fractional coordinates):
1 Tm 0.0000 0.0000 0.0000  6 Co 3.00, 6 Ga 3.01
2 Ga 0.3333 0.6667 0.8997  6 Co 2.40-2.42
3 Ga 0.6667 0.3333 0.8997  6 Co 2.40-2.42
4 Co 0.0000 0.5000 0.4023  4 Ga 2.40-2.42, 4 Co 2.59
5 Co 0.5000 0.0000 0.4023  4 Ga 2.40-2.42, 4 Co 2.59
6 Co 0.5000 0.5000 0.4023  4 Ga 2.40-2.42, 4 Co 2.59

---

Entry 4:
First-principles (GGA-PBE) data for a geometry-optimized Sr2In2Bi structure, as listed in Alexandria.

abc: 7.6107 7.6107 7.6107
angles: 138.62 138.62 59.96
With the nearest neighbours (Å) after each atom.
Atoms (fractional coordinates):
1 Sr 0.2500 0.7500 0.5000  4 In 3.34
2 Sr 0.7500 0.2500 0.5000  4 In 3.34
3 In 0.1003 0.1003 0.0000  1 In 2.65
4 In 0.8997 0.8997 0.0000  1 In 2.65
5 Bi 0.5000 0.5000 0.0000  8 In 4.03, 8 Sr 4.25

E above lowest polymorph: 414.1 meV/atom

---

Number 1: ΔE_f -0.3012 eV/atom. Number 2: ΔE_f 0.5737 eV/atom. Number 3: ΔE_f -0.3667 eV/atom. Number 4: ΔE_f -0.0509 eV/atom.